Record 1
Crystalline HoGa5Ni2Rh at its relaxed geometry, computed with PBE.

Cell and atoms, written as POSCAR:
```
HoGa5Ni2Rh
1.0
4.6229 0.0000 0.0000
0.0000 4.6229 0.0000
0.0000 0.0000 6.9916
Ho Ga Ni Rh
1 5 2 1
Direct
0.0000 0.0000 0.0000 Ho
0.0000 0.5000 0.3038 Ga
0.0000 0.5000 0.6962 Ga
0.5000 0.0000 0.3038 Ga
0.5000 0.0000 0.6962 Ga
0.5000 0.5000 0.0000 Ga
0.5000 0.5000 0.3275 Ni
0.5000 0.5000 0.6725 Ni
0.0000 0.0000 0.5000 Rh
```

Computed properties:
V   16.60 Å³ per atom
Total DFT energy (no corrections)   -4.602 eV per atom
ΔE_f   -310 meV per atom

---

Record 2
Crystalline Dy5Y5Tm at its relaxed geometry, computed with PBE.

Cell and atoms, written as POSCAR:
```
Dy5Y5Tm
1.0
6.0772 0.0000 0.0000
-3.0386 5.2630 0.0000
0.0000 0.0000 11.4362
Dy Y Tm
5 5 1
Direct
0.0000 0.0000 0.2351 Dy
0.0000 0.0000 0.7649 Dy
0.3369 0.1684 0.0000 Dy
0.8316 0.1684 0.0000 Dy
0.8316 0.6631 0.0000 Dy
0.0000 0.0000 0.5000 Y
0.3333 0.6667 0.1830 Y
0.3333 0.6667 0.8170 Y
0.6667 0.3333 0.3412 Y
0.6667 0.3333 0.6588 Y
0.3333 0.6667 0.5000 Tm
```

Computed properties:
V   33.25 Å³ per atom
Total DFT energy (no corrections)   -5.125 eV per atom
ΔE_f   311 meV per atom

---

Record 3
Crystalline CaTi2Ru at its relaxed geometry, computed with PBE.

Cell and atoms, written as POSCAR:
```
CaTi2Ru
1.0
0.0000 3.2893 3.2893
3.2893 0.0000 3.2893
3.2893 3.2893 0.0000
Ca Ti Ru
1 2 1
Direct
0.0000 0.0000 0.0000 Ca
0.2500 0.2500 0.2500 Ti
0.7500 0.7500 0.7500 Ti
0.5000 0.5000 0.5000 Ru
```

Computed properties:
V   17.79 Å³ per atom
Total DFT energy (no corrections)   -6.572 eV per atom
Energy relative to the lowest polymorph listed for this composition   0 meV/atom
ΔE_f   195 meV per atom

---

Record 4
Crystalline Pm5Er4Mg2 at its relaxed geometry, computed with PBE.

Cell and atoms, written as POSCAR:
```
Pm5Er4Mg2
1.0
11.1900 -1.7619 0.0000
11.1900 1.7619 0.0000
-0.5942 0.0000 8.7653
Pm Er Mg
5 4 2
Direct
0.0000 0.0000 0.0000 Pm
0.3170 0.3170 0.5241 Pm
0.3661 0.3661 0.9035 Pm
0.6339 0.6339 0.0965 Pm
0.6830 0.6830 0.4759 Pm
0.2102 0.2102 0.8202 Er
0.4261 0.4261 0.2802 Er
0.5739 0.5739 0.7198 Er
0.7898 0.7898 0.1798 Er
0.0533 0.0533 0.3807 Mg
0.9467 0.9467 0.6193 Mg
```

Computed properties:
V   31.42 Å³ per atom
Total DFT energy (no corrections)   -4.052 eV per atom
ΔE_f   56 meV per atom

---

Record 5
Crystalline BeNiPd3 at its relaxed geometry, computed with PBE.

Cell and atoms, written as POSCAR:
```
BeNiPd3
1.0
4.1686 0.0000 0.0000
0.0000 4.1686 0.0000
0.0000 0.0000 4.1686
Be Ni Pd
1 1 3
Direct
0.0000 0.0000 0.0000 Be
0.5000 0.5000 0.5000 Ni
0.0000 0.0000 0.5000 Pd
0.0000 0.5000 0.0000 Pd
0.5000 0.0000 0.0000 Pd
```

Computed properties:
V   14.49 Å³ per atom
Total DFT energy (no corrections)   -4.844 eV per atom
Energy relative to the lowest polymorph listed for this composition   0 meV/atom
ΔE_f   173 meV per atom

---

Record 6
Crystalline BaLiInAu at its relaxed geometry, computed with PBE.

Cell and atoms, written as POSCAR:
```
BaLiInAu
1.0
4.1970 -2.4197 0.0000
4.1970 2.4197 0.0000
-2.7841 0.0000 5.6864
Ba Li In Au
1 1 1 1
Direct
0.0000 0.0000 0.0000 Ba
0.8125 0.8125 0.4368 Li
0.5082 0.5082 0.5237 In
0.1968 0.1968 0.5887 Au
```

Computed properties:
V   28.87 Å³ per atom
Total DFT energy (no corrections)   -2.953 eV per atom
Energy relative to the lowest polymorph listed for this composition   0 meV/atom
ΔE_f   -490 meV per atom

---

Which formula does entry 1 have?
HoGa5Ni2Rh